# 1
An optimized crystal structure of RbNa2SrPb. Source: Alexandria via LeMat-Bulk, functional PBE-GGA.

a b c (Å): 6.2819 6.2819 6.5297
angles (deg): 90.00 90.00 90.00
With the nearest neighbours (Å) after each atom.
Fractional coordinates of all 5 atoms:
Rb 0.0000 0.0000 0.0000  4 Sr 4.44, 8 Na 4.53
Na 0.0000 0.5000 0.5000  2 Pb 3.14
Na 0.5000 0.0000 0.5000  2 Pb 3.14
Sr 0.5000 0.5000 0.0000  2 Pb 3.26
Pb 0.5000 0.5000 0.5000  4 Na 3.14, 2 Sr 3.26

Calculated values
DOS(E_F)   0.771 states/eV per atom
Space-group type   P4/mmm (123)
ΔE_f   -0.050 eV/atom

# 2
An optimized crystal structure of Rb2NaTcPb. Source: Alexandria via LeMat-Bulk, functional PBE-GGA.

a b c (Å): 6.2042 6.2042 5.7537
angles (deg): 90.00 90.00 90.00
With the nearest neighbours (Å) after each atom.
Fractional coordinates of all 5 atoms:
Rb 0.0000 0.5000 0.0000  2 Na 3.10
Rb 0.5000 0.0000 0.0000  2 Na 3.10
Na 0.0000 0.0000 0.0000  2 Pb 2.88, 4 Rb 3.10
Tc 0.5000 0.5000 0.5000  8 Rb 4.23, 4 Pb 4.39
Pb 0.0000 0.0000 0.5000  2 Na 2.88

Calculated values
DOS(E_F)   0.425 states/eV per atom
Space-group type   P4/mmm (123)
ΔE_f   1.211 eV/atom

# 3
An optimized crystal structure of RbNaTe2Pb. Source: Alexandria via LeMat-Bulk, functional PBE-GGA.

a b c (Å): 9.0088 9.0088 10.5634
angles (deg): 97.21 97.21 33.00
With the nearest neighbours (Å) after each atom.
Fractional coordinates of all 10 atoms:
Rb 0.1817 0.1817 0.1686  5 Te 3.62-3.92, 1 Na 4.05
Rb 0.8183 0.8183 0.8314  5 Te 3.62-3.92, 1 Na 4.05
Na 0.1891 0.1891 0.5538  4 Te 3.03-3.16
Na 0.8109 0.8109 0.4462  4 Te 3.03-3.16
Te 0.1457 0.1457 0.8230  1 Na 3.03, 2 Pb 3.19
Te 0.3735 0.3735 0.5815  3 Na 3.06-3.16, 2 Pb 3.16-3.32
Te 0.6265 0.6265 0.4185  3 Na 3.06-3.16, 2 Pb 3.16-3.32
Te 0.8543 0.8543 0.1770  1 Na 3.03, 2 Pb 3.19
Pb 0.4369 0.4369 0.3145  4 Te 3.16-3.32
Pb 0.5631 0.5631 0.6855  4 Te 3.16-3.32

Calculated values
Space-group type   C2/m (12)
E_form (uncorrected)   -710 meV per atom

# 4
An optimized crystal structure of RbNaTlPb. Source: Alexandria via LeMat-Bulk, functional PBE-GGA.

a b c (Å): 5.3520 5.3520 7.4617
angles (deg): 111.05 111.05 59.89
With the nearest neighbours (Å) after each atom.
Fractional coordinates of all 4 atoms:
Rb 0.0000 0.0000 0.0000  3 Tl 3.74-3.75, 1 Pb 3.88, 4 Na 3.97-4.18
Na 0.8054 0.8054 0.4152  3 Pb 3.26-3.27, 3 Tl 3.60-3.61
Tl 0.5626 0.5626 0.6884  3 Pb 3.19
Pb 0.1908 0.1908 0.5713  3 Tl 3.19, 3 Na 3.26-3.27

Calculated values
DOS(E_F)   0.721 states/eV per atom
Space-group type   Cm (8)
ΔE_f   -0.069 eV/atom

# 5
An optimized crystal structure of Rb2NaTl6Pb. Source: Alexandria via LeMat-Bulk, functional PBE-GGA.

a b c (Å): 8.4777 8.4777 8.4777
angles (deg): 60.00 60.00 60.00
With the nearest neighbours (Å) after each atom.
Fractional coordinates of all 10 atoms:
Rb 0.2500 0.2500 0.2500  12 Tl 4.24
Rb 0.7500 0.7500 0.7500  12 Tl 4.24
Na 0.0000 0.0000 0.0000  6 Tl 2.97
Tl 0.2480 0.2480 0.7520  1 Na 2.97, 1 Pb 3.02
Tl 0.2480 0.7520 0.2480  1 Na 2.97, 1 Pb 3.02
Tl 0.2480 0.7520 0.7520  1 Na 2.97, 1 Pb 3.02
Tl 0.7520 0.2480 0.2480  1 Na 2.97, 1 Pb 3.02
Tl 0.7520 0.2480 0.7520  1 Na 2.97, 1 Pb 3.02
Tl 0.7520 0.7520 0.2480  1 Na 2.97, 1 Pb 3.02
Pb 0.5000 0.5000 0.5000  6 Tl 3.02

Calculated values
DOS(E_F)   0.426 states/eV per atom
Space-group type   Fm-3m (225)
ΔE_f   0.092 eV/atom

# 6
An optimized crystal structure of Rb2Na3Tl12Pb. Source: Alexandria via LeMat-Bulk, functional PBE-GGA.

a b c (Å): 12.6074 12.6074 12.6074
angles (deg): 37.41 37.41 37.41
With the nearest neighbours (Å) after each atom.
Fractional coordinates of all 18 atoms:
Rb 0.1496 0.1496 0.1496  12 Tl 4.00-4.46
Rb 0.8504 0.8504 0.8504  12 Tl 4.00-4.46
Na 0.0000 0.5000 0.5000  6 Tl 3.12-3.40
Na 0.5000 0.0000 0.5000  6 Tl 3.12-3.40
Na 0.5000 0.5000 0.0000  6 Tl 3.12-3.40
Tl 0.0815 0.0815 0.6937  2 Na 3.12, 4 Tl 3.14-3.22
Tl 0.0815 0.6937 0.0815  2 Na 3.12, 4 Tl 3.14-3.22
Tl 0.1297 0.5799 0.5798  2 Tl 3.22, 1 Pb 3.24, 1 Na 3.40
Tl 0.3063 0.9185 0.9185  2 Na 3.12, 4 Tl 3.14-3.22
Tl 0.4202 0.4202 0.8703  2 Tl 3.22, 1 Pb 3.24, 1 Na 3.40
Tl 0.4202 0.8703 0.4202  2 Tl 3.22, 1 Pb 3.24, 1 Na 3.40
Tl 0.5798 0.1297 0.5798  2 Tl 3.22, 1 Pb 3.24, 1 Na 3.40
Tl 0.5798 0.5798 0.1297  2 Tl 3.22, 1 Pb 3.24, 1 Na 3.40
Tl 0.6937 0.0815 0.0815  2 Na 3.12, 4 Tl 3.14-3.22
Tl 0.8703 0.4202 0.4202  2 Tl 3.22, 1 Pb 3.24, 1 Na 3.40
Tl 0.9185 0.3063 0.9185  2 Na 3.12, 4 Tl 3.14-3.22
Tl 0.9185 0.9185 0.3063  2 Na 3.12, 4 Tl 3.14-3.22
Pb 0.5000 0.5000 0.5000  6 Tl 3.24

Calculated values
DOS(E_F)   0.484 states/eV per atom
Space-group type   R-3m (166)
ΔE_f   0.014 eV/atom

Number 5 is which compound?
Rb2NaTl6Pb

Copy entry 4 word for word.
An optimized crystal structure of RbNaTlPb. Source: Alexandria via LeMat-Bulk, functional PBE-GGA.

a b c (Å): 5.3520 5.3520 7.4617
angles (deg): 111.05 111.05 59.89
With the nearest neighbours (Å) after each atom.
Fractional coordinates of all 4 atoms:
Rb 0.0000 0.0000 0.0000  3 Tl 3.74-3.75, 1 Pb 3.88, 4 Na 3.97-4.18
Na 0.8054 0.8054 0.4152  3 Pb 3.26-3.27, 3 Tl 3.60-3.61
Tl 0.5626 0.5626 0.6884  3 Pb 3.19
Pb 0.1908 0.1908 0.5713  3 Tl 3.19, 3 Na 3.26-3.27

Calculated values
DOS(E_F)   0.721 states/eV per atom
Space-group type   Cm (8)
ΔE_f   -0.069 eV/atom

Copy entry 5 word for word.
An optimized crystal structure of Rb2NaTl6Pb. Source: Alexandria via LeMat-Bulk, functional PBE-GGA.

a b c (Å): 8.4777 8.4777 8.4777
angles (deg): 60.00 60.00 60.00
With the nearest neighbours (Å) after each atom.
Fractional coordinates of all 10 atoms:
Rb 0.2500 0.2500 0.2500  12 Tl 4.24
Rb 0.7500 0.7500 0.7500  12 Tl 4.24
Na 0.0000 0.0000 0.0000  6 Tl 2.97
Tl 0.2480 0.2480 0.7520  1 Na 2.97, 1 Pb 3.02
Tl 0.2480 0.7520 0.2480  1 Na 2.97, 1 Pb 3.02
Tl 0.2480 0.7520 0.7520  1 Na 2.97, 1 Pb 3.02
Tl 0.7520 0.2480 0.2480  1 Na 2.97, 1 Pb 3.02
Tl 0.7520 0.2480 0.7520  1 Na 2.97, 1 Pb 3.02
Tl 0.7520 0.7520 0.2480  1 Na 2.97, 1 Pb 3.02
Pb 0.5000 0.5000 0.5000  6 Tl 3.02

Calculated values
DOS(E_F)   0.426 states/eV per atom
Space-group type   Fm-3m (225)
ΔE_f   0.092 eV/atom